## TlIn2Cu (meta-GGA SCAN)

Data for a PBEsol-optimized structure of TlIn2Cu.

Energy relative to the elements, meV/atom: 298.6
Uncorrected energy, Ry/atom: -2.81383

The structure in POSCAR format:
```
TlIn2Cu
1.0
-1.939 -2.848 -1.000
4.059 -2.161 -1.198
-0.670 0.520 5.999
Tl Cu In
1 1 2
direct
0.500 0.000 0.000
0.000 0.500 0.000
0.500 0.500 0.500
0.000 0.000 0.500
```

## GaAg3Rh (meta-GGA SCAN)

Data for a PBEsol-optimized structure of GaAg3Rh.

Energy relative to the elements, meV/atom: 1063.8
Uncorrected energy, Ry/atom: -2.04179

The structure in POSCAR format:
```
GaAg3Rh
1.0
-3.193 -2.906 -2.364
-0.718 -2.574 4.133
-3.677 3.026 1.246
Ag Ga Rh
3 1 1
direct
0.500 0.000 0.000
0.000 0.500 0.000
0.000 0.000 0.500
0.500 0.500 0.500
0.000 0.000 0.000
```